Arrangement A

VASP calculation (PBE) on a relaxed FeBPRhCl crystal.

symmetry: Cm, No. 8

abc: 4.831 4.831 3.846
angles: 90.36 90.36 51.88
Positions (direct):
Fe1 0.000 0.000 0.000
B1 0.906 0.906 0.504
P1 0.136 0.136 0.509
Rh1 0.703 0.703 0.280
Cl1 0.426 0.426 0.938

=====

Arrangement B

VASP calculation (PBE) on a relaxed FeBPRhCl crystal.

symmetry: Imm2, No. 44

abc: 5.852 5.852 5.852
angles: 149.84 132.63 57.19
Positions (direct):
Fe1 0.000 0.000 0.000
B1 0.863 0.363 0.500
P1 0.175 0.675 0.500
Rh1 0.739 0.739 0.000
Cl1 0.523 0.023 0.500

=====

Arrangement C

VASP calculation (PBE) on a relaxed FeBPRhCl crystal.

symmetry: P1, No. 1

abc: 3.096 4.123 6.223
angles: 99.57 90.23 111.90
Positions (direct):
Fe1 0.000 0.000 0.000
B1 0.427 0.856 0.791
P1 0.693 0.392 0.942
Rh1 0.795 0.595 0.618
Cl1 0.054 0.104 0.371

=====

Best to worst by energy: arrangement C, arrangement B, arrangement A.

=====

Arrangement A

VASP calculation (PBE) on a relaxed FeBPRhCl crystal.

symmetry: Cm, No. 8

abc: 3.412 3.412 7.009
angles: 104.33 104.33 59.32
Positions (direct):
Fe1 0.000 0.000 0.000
B1 0.671 0.671 0.005
P1 0.395 0.395 0.197
Rh1 0.126 0.126 0.390
Cl1 0.887 0.887 0.664

=====

Arrangement B

VASP calculation (PBE) on a relaxed FeBPRhCl crystal.

symmetry: P1, No. 1

abc: 3.874 4.283 4.994
angles: 105.15 94.30 102.55
Positions (direct):
Fe1 0.000 0.000 0.000
B1 0.692 0.843 0.653
P1 0.593 0.185 0.186
Rh1 0.447 0.684 0.278
Cl1 0.113 0.425 0.779

=====

Best to worst by energy: arrangement A, arrangement B.

=====

Arrangement A

VASP calculation (PBE) on a relaxed GaB2Cl crystal.

symmetry: I-42d, No. 122

abc: 6.155 6.155 6.155
angles: 132.38 132.38 69.62
Positions (direct):
Ga1 0.000 0.000 0.000
Ga2 0.750 0.250 0.500
B1 0.094 0.625 0.969
B2 0.375 0.344 0.469
B3 0.656 0.125 0.031
B4 0.875 0.906 0.531
Cl1 0.250 0.750 0.500
Cl2 0.500 0.500 0.000

=====

Arrangement B

VASP calculation (PBE) on a relaxed GaB2Cl crystal.

symmetry: Fm-3m, No. 225

abc: 4.274 4.274 4.274
angles: 60.00 60.00 60.00
Positions (direct):
Ga1 0.000 0.000 0.000
B1 0.250 0.250 0.250
B2 0.750 0.750 0.750
Cl1 0.500 0.500 0.500

=====

Best to worst by energy: arrangement A, arrangement B.

=====

Arrangement A

VASP calculation (PBE) on a relaxed GaBPCl2 crystal.

symmetry: P4/mmm, No. 123

abc: 4.833 4.833 4.886
angles: 90.00 90.00 90.00
Positions (direct):
Ga1 0.000 0.000 0.000
B1 0.500 0.500 0.500
P1 0.000 0.000 0.500
Cl1 0.000 0.500 0.000
Cl2 0.500 0.000 0.000

=====

Arrangement B

VASP calculation (PBE) on a relaxed GaBPCl2 crystal.

symmetry: P4/mmm, No. 123

abc: 5.424 5.424 3.552
angles: 90.00 90.00 90.00
Positions (direct):
Ga1 0.000 0.000 0.000
B1 0.500 0.500 0.500
P1 0.500 0.500 0.000
Cl1 0.000 0.500 0.500
Cl2 0.500 0.000 0.500

=====

Best to worst by energy: arrangement B, arrangement A.

=====

Arrangement A

VASP calculation (PBE) on a relaxed GaBS2Cl crystal.

symmetry: P4/mmm, No. 123

abc: 4.168 4.168 4.804
angles: 90.00 90.00 90.00
Positions (direct):
Ga1 0.000 0.000 0.000
B1 0.500 0.500 0.500
S1 0.000 0.500 0.500
S2 0.500 0.000 0.500
Cl1 0.500 0.500 0.000

=====

Arrangement B

VASP calculation (PBE) on a relaxed GaBS2Cl crystal.

symmetry: P4/mmm, No. 123

abc: 4.688 4.688 4.889
angles: 90.00 90.00 90.00
Positions (direct):
Ga1 0.000 0.000 0.000
B1 0.500 0.500 0.500
S1 0.000 0.500 0.000
S2 0.500 0.000 0.000
Cl1 0.000 0.000 0.500

=====

Best to worst by energy: arrangement A, arrangement B.

=====

Arrangement A

VASP calculation (PBE) on a relaxed GaBSCl2 crystal.

symmetry: P4/mmm, No. 123

abc: 4.822 4.822 4.744
angles: 90.00 90.00 90.00
Positions (direct):
Ga1 0.000 0.000 0.000
B1 0.500 0.500 0.500
S1 0.000 0.000 0.500
Cl1 0.000 0.500 0.000
Cl2 0.500 0.000 0.000

=====

Arrangement B

VASP calculation (PBE) on a relaxed GaBSCl2 crystal.

symmetry: P4/mmm, No. 123

abc: 5.269 5.269 3.589
angles: 90.00 90.00 90.00
Positions (direct):
Ga1 0.000 0.000 0.000
B1 0.500 0.500 0.500
S1 0.500 0.500 0.000
Cl1 0.000 0.500 0.500
Cl2 0.500 0.000 0.500

=====

Best to worst by energy: arrangement B, arrangement A.

=====

Arrangement A

VASP calculation (PBE) on a relaxed Ge3BCl crystal.

symmetry: Pm-3m, No. 221

abc: 4.553 4.553 4.553
angles: 90.00 90.00 90.00
Positions (direct):
Ge1 0.000 0.000 0.500
Ge2 0.000 0.500 0.000
Ge3 0.500 0.000 0.000
B1 0.000 0.000 0.000
Cl1 0.500 0.500 0.500

=====

Arrangement B

VASP calculation (PBE) on a relaxed Ge3BCl crystal.

symmetry: Pm-3m, No. 221

abc: 4.952 4.952 4.952
angles: 90.00 90.00 90.00
Positions (direct):
Ge1 0.000 0.000 0.500
Ge2 0.000 0.500 0.000
Ge3 0.500 0.000 0.000
B1 0.500 0.500 0.500
Cl1 0.000 0.000 0.000

=====

Best to worst by energy: arrangement A, arrangement B.

=====

Arrangement A

VASP calculation (PBE) on a relaxed GeB2Cl2 crystal.

symmetry: I4/mmm, No. 139

abc: 9.103 9.103 9.103
angles: 161.65 161.65 26.06
Positions (direct):
Ge1 0.000 0.000 0.000
B1 0.250 0.750 0.500
B2 0.750 0.250 0.500
Cl1 0.373 0.373 0.000
Cl2 0.627 0.627 0.000

=====

Arrangement B

VASP calculation (PBE) on a relaxed GeB2Cl2 crystal.

symmetry: P4/mbm, No. 127

abc: 8.302 8.302 2.823
angles: 90.00 90.00 90.00
Positions (direct):
Ge1 0.000 0.000 0.000
Ge2 0.500 0.500 0.000
B1 0.241 0.259 0.500
B2 0.259 0.759 0.500
B3 0.741 0.241 0.500
B4 0.759 0.741 0.500
Cl1 0.127 0.373 0.000
Cl2 0.373 0.873 0.000
Cl3 0.627 0.127 0.000
Cl4 0.873 0.627 0.000

=====

Best to worst by energy: arrangement A, arrangement B.